Record 1
# Ca2ZnCu (meta-GGA SCAN, single point on PBEsol structure)
# - VASP energy: -12.14 eV per atom
# - Energy relative to the elements: -0.1336 eV/atom
# - DOS at the Fermi energy: 3.1 states/eV/cell
data_Ca2ZnCu
_chemical_formula_sum 'Ca2 Zn1 Cu1'
_cell_length_a 3.559
_cell_length_b 3.559
_cell_length_c 7.070
_cell_angle_alpha 90.00
_cell_angle_beta 90.00
_cell_angle_gamma 90.00
_symmetry_space_group_name_H-M 'P 4/m m m'
_symmetry_Int_Tables_number 123
_symmetry_space_group_name_Hall '-P 4 2'
loop_
_atom_site_label
_atom_site_type_symbol
_atom_site_fract_x
_atom_site_fract_y
_atom_site_fract_z
_atom_site_occupancy
Ca1 Ca 0.000 0.000 0.243 1
Zn1 Zn 0.500 0.500 0.500 1
Cu1 Cu 0.500 0.500 0.000 1

***

Record 2
# CaZrCu2 (meta-GGA SCAN, single point on PBEsol structure)
# - VASP energy: -17.72 eV per atom
# - Energy relative to the elements: -0.0334 eV/atom
# - DOS at the Fermi energy: 2.8 states/eV/cell
data_CaZrCu2
_chemical_formula_sum 'Ca1 Zr1 Cu2'
_cell_length_a 4.808
_cell_length_b 4.808
_cell_length_c 3.151
_cell_angle_alpha 90.00
_cell_angle_beta 90.00
_cell_angle_gamma 90.00
_symmetry_space_group_name_H-M 'P 4/m m m'
_symmetry_Int_Tables_number 123
_symmetry_space_group_name_Hall '-P 4 2'
loop_
_atom_site_label
_atom_site_type_symbol
_atom_site_fract_x
_atom_site_fract_y
_atom_site_fract_z
_atom_site_occupancy
Ca1 Ca 0.000 0.000 0.000 1
Zr1 Zr 0.500 0.500 0.000 1
Cu1 Cu 0.000 0.500 0.500 1

***

Record 3
# CaZrCu2 (meta-GGA SCAN, single point on PBEsol structure)
# - VASP energy: -17.42 eV per atom
# - Energy relative to the elements: 0.2721 eV/atom
# - DOS at the Fermi energy: 6.7 states/eV/cell
data_CaZrCu2
_chemical_formula_sum 'Ca2 Zr2 Cu4'
_cell_length_a 3.945
_cell_length_b 3.945
_cell_length_c 9.361
_cell_angle_alpha 90.00
_cell_angle_beta 90.00
_cell_angle_gamma 90.00
_symmetry_space_group_name_H-M 'I -4 m 2'
_symmetry_Int_Tables_number 119
_symmetry_space_group_name_Hall 'I -4 -2'
loop_
_atom_site_label
_atom_site_type_symbol
_atom_site_fract_x
_atom_site_fract_y
_atom_site_fract_z
_atom_site_occupancy
Ca1 Ca 0.000 0.000 0.000 1
Zr1 Zr 0.000 0.500 0.250 1
Cu1 Cu 0.000 0.000 0.500 1
Cu2 Cu 0.000 0.500 0.750 1

***

Record 4
# CaZrCu2 (meta-GGA SCAN, single point on PBEsol structure)
# - VASP energy: -17.81 eV per atom
# - Energy relative to the elements: -0.1230 eV/atom
# - DOS at the Fermi energy: 3.1 states/eV/cell
data_CaZrCu2
_chemical_formula_sum 'Ca1 Zr1 Cu2'
_cell_length_a 3.336
_cell_length_b 3.336
_cell_length_c 6.823
_cell_angle_alpha 90.00
_cell_angle_beta 90.00
_cell_angle_gamma 90.00
_symmetry_space_group_name_H-M 'P 4/m m m'
_symmetry_Int_Tables_number 123
_symmetry_space_group_name_Hall '-P 4 2'
loop_
_atom_site_label
_atom_site_type_symbol
_atom_site_fract_x
_atom_site_fract_y
_atom_site_fract_z
_atom_site_occupancy
Ca1 Ca 0.000 0.000 0.000 1
Zr1 Zr 0.000 0.000 0.500 1
Cu1 Cu 0.500 0.500 0.298 1

***

Record 5
# CaZrCu2 (meta-GGA SCAN, single point on PBEsol structure)
# - VASP energy: -17.59 eV per atom
# - Energy relative to the elements: 0.1013 eV/atom
# - DOS at the Fermi energy: 2.7 states/eV/cell
data_CaZrCu2
_chemical_formula_sum 'Ca1 Zr1 Cu2'
_cell_length_a 3.224
_cell_length_b 3.224
_cell_length_c 7.317
_cell_angle_alpha 90.00
_cell_angle_beta 90.00
_cell_angle_gamma 90.00
_symmetry_space_group_name_H-M 'P 4 m m'
_symmetry_Int_Tables_number 99
_symmetry_space_group_name_Hall 'P 4 -2'
loop_
_atom_site_label
_atom_site_type_symbol
_atom_site_fract_x
_atom_site_fract_y
_atom_site_fract_z
_atom_site_occupancy
Ca1 Ca 0.000 0.000 0.000 1
Zr1 Zr 0.500 0.500 0.628 1
Cu1 Cu 0.000 0.000 0.408 1
Cu2 Cu 0.500 0.500 0.263 1

***

Record 6
# CaErRh2 (meta-GGA SCAN, single point on PBEsol structure)
# - VASP energy: -32.60 eV per atom
# - Energy relative to the elements: -0.7148 eV/atom
# - DOS at the Fermi energy: 6.2 states/eV/cell
data_CaErRh2
_chemical_formula_sum 'Ca4 Er4 Rh8'
_cell_length_a 6.665
_cell_length_b 6.665
_cell_length_c 6.665
_cell_angle_alpha 90.00
_cell_angle_beta 90.00
_cell_angle_gamma 90.00
_symmetry_space_group_name_H-M 'F m -3 m'
_symmetry_Int_Tables_number 225
_symmetry_space_group_name_Hall '-F 4 2 3'
loop_
_atom_site_label
_atom_site_type_symbol
_atom_site_fract_x
_atom_site_fract_y
_atom_site_fract_z
_atom_site_occupancy
Ca1 Ca 0.000 0.000 0.000 1
Er1 Er 0.000 0.000 0.500 1
Rh1 Rh 0.250 0.250 0.250 1

***

Record 7
# CaEr2S4 (meta-GGA SCAN, single point on PBEsol structure)
# - VASP energy: -23.64 eV per atom
# - Energy relative to the elements, uncorrected: -2378 meV/atom
# - DOS at the Fermi energy: 0.0 states/eV/cell
data_CaEr2S4
_chemical_formula_sum 'Ca4 Er8 S16'
_cell_length_a 3.825
_cell_length_b 12.630
_cell_length_c 13.011
_cell_angle_alpha 90.00
_cell_angle_beta 90.00
_cell_angle_gamma 90.00
_symmetry_space_group_name_H-M 'C m c 21'
_symmetry_Int_Tables_number 36
_symmetry_space_group_name_Hall 'C 2c -2'
loop_
_atom_site_label
_atom_site_type_symbol
_atom_site_fract_x
_atom_site_fract_y
_atom_site_fract_z
_atom_site_occupancy
Ca1 Ca 0.000 0.113 0.000 1
Er1 Er 0.000 0.359 0.811 1
Er2 Er 0.000 0.372 0.169 1
S1 S 0.000 0.010 0.231 1
S2 S 0.000 0.266 0.623 1
S3 S 0.000 0.278 0.359 1
S4 S 0.000 0.458 0.987 1

***

Record 8
# CaEr2S4 (meta-GGA SCAN, single point on PBEsol structure)
# - VASP energy: -23.65 eV per atom
# - Energy relative to the elements, uncorrected: -2390 meV/atom
# - DOS at the Fermi energy: 0.0 states/eV/cell
data_CaEr2S4
_chemical_formula_sum 'Ca4 Er8 S16'
_cell_length_a 12.714
_cell_length_b 3.825
_cell_length_c 12.883
_cell_angle_alpha 90.00
_cell_angle_beta 90.00
_cell_angle_gamma 90.00
_symmetry_space_group_name_H-M 'P n m a'
_symmetry_Int_Tables_number 62
_symmetry_space_group_name_Hall '-P 2ac 2n'
loop_
_atom_site_label
_atom_site_type_symbol
_atom_site_fract_x
_atom_site_fract_y
_atom_site_fract_z
_atom_site_occupancy
Ca1 Ca 0.132 0.250 0.082 1
Er1 Er 0.106 0.750 0.415 1
Er2 Er 0.147 0.750 0.798 1
S1 S 0.029 0.250 0.882 1
S2 S 0.036 0.750 0.617 1
S3 S 0.218 0.750 0.236 1
S4 S 0.241 0.250 0.474 1

***

Record 9
# Ca3Eu (meta-GGA SCAN, single point on PBEsol structure)
# - VASP energy: -20.64 eV per atom
# - Energy relative to the elements: 0.0322 eV/atom
# - DOS at the Fermi energy: 17.9 states/eV/cell
data_Ca3Eu
_chemical_formula_sum 'Ca6 Eu2'
_cell_length_a 7.6805
_cell_length_b 7.6805
_cell_length_c 6.3177
_cell_angle_alpha 90.00
_cell_angle_beta 90.00
_cell_angle_gamma 120.00
_symmetry_space_group_name_H-M 'P 63/m m c'
_symmetry_Int_Tables_number 194
_symmetry_space_group_name_Hall '-P 6c 2c'
loop_
_atom_site_label
_atom_site_type_symbol
_atom_site_fract_x
_atom_site_fract_y
_atom_site_fract_z
_atom_site_occupancy
Ca1 Ca 0.1673 0.3346 0.2500 1
Eu1 Eu 0.3333 0.6667 0.7500 1

***

Record 10
# Ca3Eu (meta-GGA SCAN, single point on PBEsol structure)
# - VASP energy: -20.63 eV per atom
# - Energy relative to the elements: 0.0423 eV/atom
# - DOS at the Fermi energy: 3.7 states/eV/cell
data_Ca3Eu
_chemical_formula_sum 'Ca3 Eu1'
_cell_length_a 5.457
_cell_length_b 5.457
_cell_length_c 5.457
_cell_angle_alpha 90.00
_cell_angle_beta 90.00
_cell_angle_gamma 90.00
_symmetry_space_group_name_H-M 'P m -3 m'
_symmetry_Int_Tables_number 221
_symmetry_space_group_name_Hall '-P 4 2 3'
loop_
_atom_site_label
_atom_site_type_symbol
_atom_site_fract_x
_atom_site_fract_y
_atom_site_fract_z
_atom_site_occupancy
Ca1 Ca 0.000 0.000 0.500 1
Eu1 Eu 0.500 0.500 0.500 1

***

Record 11
# CaEuGa2 (meta-GGA SCAN, single point on PBEsol structure)
# - VASP energy: -24.53 eV per atom
# - Energy relative to the elements: -0.5163 eV/atom
# - DOS at the Fermi energy: 6.5 states/eV/cell
data_CaEuGa2
_chemical_formula_sum 'Ca4 Eu4 Ga8'
_cell_length_a 7.268
_cell_length_b 7.268
_cell_length_c 7.268
_cell_angle_alpha 90.00
_cell_angle_beta 90.00
_cell_angle_gamma 90.00
_symmetry_space_group_name_H-M 'F m -3 m'
_symmetry_Int_Tables_number 225
_symmetry_space_group_name_Hall '-F 4 2 3'
loop_
_atom_site_label
_atom_site_type_symbol
_atom_site_fract_x
_atom_site_fract_y
_atom_site_fract_z
_atom_site_occupancy
Ca1 Ca 0.000 0.000 0.000 1
Eu1 Eu 0.000 0.000 0.500 1
Ga1 Ga 0.250 0.250 0.250 1

***

Record 12
# CaEuIn2 (meta-GGA SCAN, single point on PBEsol structure)
# - VASP energy: -33.17 eV per atom
# - Energy relative to the elements: -0.6367 eV/atom
# - DOS at the Fermi energy: 22.0 states/eV/cell
data_CaEuIn2
_chemical_formula_sum 'Ca4 Eu4 In8'
_cell_length_a 7.639
_cell_length_b 7.639
_cell_length_c 7.639
_cell_angle_alpha 90.00
_cell_angle_beta 90.00
_cell_angle_gamma 90.00
_symmetry_space_group_name_H-M 'F m -3 m'
_symmetry_Int_Tables_number 225
_symmetry_space_group_name_Hall '-F 4 2 3'
loop_
_atom_site_label
_atom_site_type_symbol
_atom_site_fract_x
_atom_site_fract_y
_atom_site_fract_z
_atom_site_occupancy
Ca1 Ca 0.000 0.000 0.000 1
Eu1 Eu 0.000 0.000 0.500 1
In1 In 0.250 0.250 0.250 1

***

Record 13
# CaEuMg2 (meta-GGA SCAN, single point on PBEsol structure)
# - VASP energy: -18.41 eV per atom
# - Energy relative to the elements: -0.0781 eV/atom
# - DOS at the Fermi energy: 21.9 states/eV/cell
data_CaEuMg2
_chemical_formula_sum 'Ca4 Eu4 Mg8'
_cell_length_a 7.862
_cell_length_b 7.862
_cell_length_c 7.862
_cell_angle_alpha 90.00
_cell_angle_beta 90.00
_cell_angle_gamma 90.00
_symmetry_space_group_name_H-M 'F m -3 m'
_symmetry_Int_Tables_number 225
_symmetry_space_group_name_Hall '-F 4 2 3'
loop_
_atom_site_label
_atom_site_type_symbol
_atom_site_fract_x
_atom_site_fract_y
_atom_site_fract_z
_atom_site_occupancy
Ca1 Ca 0.000 0.000 0.000 1
Eu1 Eu 0.000 0.000 0.500 1
Mg1 Mg 0.250 0.250 0.250 1

***

Record 14
# Ca2EuZn9Ni6 (meta-GGA SCAN, single point on PBEsol structure)
# - VASP energy: -16.52 eV per atom
# - Energy relative to the elements: -0.3180 eV/atom
# - DOS at the Fermi energy: 11.2 states/eV/cell
data_Ca2EuZn9Ni6
_chemical_formula_sum 'Ca2 Eu1 Zn9 Ni6'
_cell_length_a 8.8684
_cell_length_b 8.8684
_cell_length_c 4.0231
_cell_angle_alpha 90.00
_cell_angle_beta 90.00
_cell_angle_gamma 120.00
_symmetry_space_group_name_H-M 'P 6/m m m'
_symmetry_Int_Tables_number 191
_symmetry_space_group_name_Hall '-P 6 2'
loop_
_atom_site_label
_atom_site_type_symbol
_atom_site_fract_x
_atom_site_fract_y
_atom_site_fract_z
_atom_site_occupancy
Ca1 Ca 0.3333 0.6667 0.0000 1
Eu1 Eu 0.0000 0.0000 0.5000 1
Zn1 Zn 0.0000 0.2944 0.0000 1
Zn2 Zn 0.0000 0.5000 0.5000 1
Ni1 Ni 0.1823 0.3647 0.5000 1